This record from Alexandria describes a relaxed Li5ZnCl8 crystal. The functional is PBE.

Unit cell a=7.389 b=7.389 c=7.389 alpha=60.00 beta=60.00 gamma=60.00
Sites, in units of the cell vectors:
Li (0.000, 0.000, 0.000)
Li (0.105, 0.632, 0.632)
Li (0.632, 0.105, 0.632)
Li (0.632, 0.632, 0.105)
Li (0.632, 0.632, 0.632)
Zn (0.250, 0.250, 0.250)
Cl (0.378, 0.378, 0.378)
Cl (0.378, 0.378, 0.867)
Cl (0.378, 0.867, 0.378)
Cl (0.392, 0.869, 0.869)
Cl (0.867, 0.378, 0.378)
Cl (0.869, 0.392, 0.869)
Cl (0.869, 0.869, 0.392)
Cl (0.869, 0.869, 0.869)

symmetry = F-43m
calculated volume = 20.375 Å³ per atom
formation energy without anion corrections = -1456 meV/atom

---

This record from Alexandria describes a relaxed Li3Zn5Cl12 crystal. The functional is PBE.

Unit cell a=13.432 b=13.432 c=13.432 alpha=109.47 beta=109.47 gamma=109.47
Sites, in units of the cell vectors:
Li (0.125, 0.250, 0.375)
Li (0.125, 0.375, 0.750)
Li (0.250, 0.375, 0.125)
Li (0.250, 0.875, 0.625)
Li (0.375, 0.125, 0.250)
Li (0.375, 0.750, 0.125)
Li (0.625, 0.250, 0.875)
Li (0.625, 0.875, 0.750)
Li (0.750, 0.125, 0.375)
Li (0.750, 0.625, 0.875)
Li (0.875, 0.625, 0.250)
Li (0.875, 0.750, 0.625)
Zn (0.000, 0.000, 0.000)
Zn (0.000, 0.000, 0.500)
Zn (0.000, 0.500, 0.000)
Zn (0.000, 0.500, 0.500)
Zn (0.125, 0.750, 0.875)
Zn (0.125, 0.875, 0.250)
Zn (0.250, 0.125, 0.875)
Zn (0.250, 0.625, 0.375)
Zn (0.375, 0.250, 0.625)
Zn (0.375, 0.625, 0.750)
Zn (0.500, 0.000, 0.000)
Zn (0.500, 0.000, 0.500)
Zn (0.500, 0.500, 0.000)
Zn (0.500, 0.500, 0.500)
Zn (0.625, 0.375, 0.250)
Zn (0.625, 0.750, 0.375)
Zn (0.750, 0.375, 0.625)
Zn (0.750, 0.875, 0.125)
Zn (0.875, 0.125, 0.750)
Zn (0.875, 0.250, 0.125)
Cl (0.030, 0.210, 0.125)
Cl (0.030, 0.320, 0.905)
Cl (0.085, 0.710, 0.680)
Cl (0.085, 0.875, 0.405)
Cl (0.095, 0.625, 0.415)
Cl (0.095, 0.970, 0.680)
Cl (0.125, 0.030, 0.210)
Cl (0.125, 0.595, 0.915)
Cl (0.180, 0.210, 0.585)
Cl (0.180, 0.470, 0.595)
Cl (0.210, 0.125, 0.030)
Cl (0.210, 0.585, 0.180)
Cl (0.290, 0.320, 0.915)
Cl (0.290, 0.470, 0.375)
Cl (0.320, 0.905, 0.030)
Cl (0.320, 0.915, 0.290)
Cl (0.375, 0.290, 0.470)
Cl (0.375, 0.585, 0.905)
Cl (0.405, 0.085, 0.875)
Cl (0.405, 0.820, 0.530)
Cl (0.415, 0.095, 0.625)
Cl (0.415, 0.820, 0.790)
Cl (0.470, 0.375, 0.290)
Cl (0.470, 0.595, 0.180)
Cl (0.530, 0.405, 0.820)
Cl (0.530, 0.625, 0.710)
Cl (0.585, 0.180, 0.210)
Cl (0.585, 0.905, 0.375)
Cl (0.595, 0.180, 0.470)
Cl (0.595, 0.915, 0.125)
Cl (0.625, 0.415, 0.095)
Cl (0.625, 0.710, 0.530)
Cl (0.680, 0.085, 0.710)
Cl (0.680, 0.095, 0.970)
Cl (0.710, 0.530, 0.625)
Cl (0.710, 0.680, 0.085)
Cl (0.790, 0.415, 0.820)
Cl (0.790, 0.875, 0.970)
Cl (0.820, 0.530, 0.405)
Cl (0.820, 0.790, 0.415)
Cl (0.875, 0.405, 0.085)
Cl (0.875, 0.970, 0.790)
Cl (0.905, 0.030, 0.320)
Cl (0.905, 0.375, 0.585)
Cl (0.915, 0.125, 0.595)
Cl (0.915, 0.290, 0.320)
Cl (0.970, 0.680, 0.095)
Cl (0.970, 0.790, 0.875)

symmetry = Ia-3d
calculated volume = 23.317 Å³ per atom
formation energy without anion corrections = -1144 meV/atom

---

This record from Alexandria describes a relaxed LiZnCl3 crystal. The functional is PBE.

Unit cell a=4.888 b=4.888 c=4.888 alpha=90.00 beta=90.00 gamma=90.00
Sites, in units of the cell vectors:
Li (0.000, 0.000, 0.000)
Zn (0.500, 0.500, 0.500)
Cl (0.000, 0.500, 0.500)
Cl (0.500, 0.000, 0.500)
Cl (0.500, 0.500, 0.000)

symmetry = Pm-3m
relative energy among the computed polymorphs = 315 meV per atom
calculated volume = 23.364 Å³ per atom
formation energy without anion corrections = -1095 meV/atom

---

This record from Alexandria describes a relaxed LiZnCl3 crystal. The functional is PBE.

Unit cell a=10.807 b=10.807 c=6.297 alpha=90.00 beta=90.00 gamma=160.35
Sites, in units of the cell vectors:
Li (0.189, 0.811, 0.500)
Li (0.811, 0.189, 0.000)
Zn (0.382, 0.618, 0.531)
Zn (0.618, 0.382, 0.031)
Cl (0.064, 0.936, 0.153)
Cl (0.287, 0.713, 0.714)
Cl (0.370, 0.630, 0.175)
Cl (0.630, 0.370, 0.675)
Cl (0.713, 0.287, 0.214)
Cl (0.936, 0.064, 0.653)

symmetry = Cmc2_1
relative energy among the computed polymorphs = 0 meV per atom
calculated volume = 24.722 Å³ per atom
formation energy without anion corrections = -1411 meV/atom

---

This record from Alexandria describes a relaxed Li5Zr3Cl12 crystal. The functional is PBE.

Unit cell a=12.948 b=12.948 c=12.948 alpha=109.47 beta=109.47 gamma=109.47
Sites, in units of the cell vectors:
Li (0.000, 0.000, 0.000)
Li (0.000, 0.000, 0.500)
Li (0.000, 0.500, 0.000)
Li (0.000, 0.500, 0.500)
Li (0.125, 0.750, 0.875)
Li (0.125, 0.875, 0.250)
Li (0.250, 0.125, 0.875)
Li (0.250, 0.625, 0.375)
Li (0.375, 0.250, 0.625)
Li (0.375, 0.625, 0.750)
Li (0.500, 0.000, 0.000)
Li (0.500, 0.000, 0.500)
Li (0.500, 0.500, 0.000)
Li (0.500, 0.500, 0.500)
Li (0.625, 0.375, 0.250)
Li (0.625, 0.750, 0.375)
Li (0.750, 0.375, 0.625)
Li (0.750, 0.875, 0.125)
Li (0.875, 0.125, 0.750)
Li (0.875, 0.250, 0.125)
Zr (0.125, 0.250, 0.375)
Zr (0.125, 0.375, 0.750)
Zr (0.250, 0.375, 0.125)
Zr (0.250, 0.875, 0.625)
Zr (0.375, 0.125, 0.250)
Zr (0.375, 0.750, 0.125)
Zr (0.625, 0.250, 0.875)
Zr (0.625, 0.875, 0.750)
Zr (0.750, 0.125, 0.375)
Zr (0.750, 0.625, 0.875)
Zr (0.875, 0.625, 0.250)
Zr (0.875, 0.750, 0.625)
Cl (0.041, 0.220, 0.130)
Cl (0.041, 0.321, 0.911)
Cl (0.089, 0.630, 0.410)
Cl (0.089, 0.959, 0.679)
Cl (0.090, 0.720, 0.679)
Cl (0.090, 0.870, 0.411)
Cl (0.130, 0.041, 0.220)
Cl (0.130, 0.589, 0.910)
Cl (0.179, 0.220, 0.590)
Cl (0.179, 0.459, 0.589)
Cl (0.220, 0.130, 0.041)
Cl (0.220, 0.590, 0.179)
Cl (0.280, 0.321, 0.910)
Cl (0.280, 0.459, 0.370)
Cl (0.321, 0.910, 0.280)
Cl (0.321, 0.911, 0.041)
Cl (0.370, 0.280, 0.459)
Cl (0.370, 0.590, 0.911)
Cl (0.410, 0.089, 0.630)
Cl (0.410, 0.821, 0.780)
Cl (0.411, 0.090, 0.870)
Cl (0.411, 0.821, 0.541)
Cl (0.459, 0.370, 0.280)
Cl (0.459, 0.589, 0.179)
Cl (0.541, 0.411, 0.821)
Cl (0.541, 0.630, 0.720)
Cl (0.589, 0.179, 0.459)
Cl (0.589, 0.910, 0.130)
Cl (0.590, 0.179, 0.220)
Cl (0.590, 0.911, 0.370)
Cl (0.630, 0.410, 0.089)
Cl (0.630, 0.720, 0.541)
Cl (0.679, 0.089, 0.959)
Cl (0.679, 0.090, 0.720)
Cl (0.720, 0.541, 0.630)
Cl (0.720, 0.679, 0.090)
Cl (0.780, 0.410, 0.821)
Cl (0.780, 0.870, 0.959)
Cl (0.821, 0.541, 0.411)
Cl (0.821, 0.780, 0.410)
Cl (0.870, 0.411, 0.090)
Cl (0.870, 0.959, 0.780)
Cl (0.910, 0.130, 0.589)
Cl (0.910, 0.280, 0.321)
Cl (0.911, 0.041, 0.321)
Cl (0.911, 0.370, 0.590)
Cl (0.959, 0.679, 0.089)
Cl (0.959, 0.780, 0.870)

symmetry = Ia-3d
calculated volume = 20.888 Å³ per atom
formation energy without anion corrections = -1502 meV/atom

---

This record from Alexandria describes a relaxed LiZrCl2 crystal. The functional is PBE.

Unit cell a=4.602 b=4.602 c=4.602 alpha=60.00 beta=60.00 gamma=60.00
Sites, in units of the cell vectors:
Li (0.000, 0.000, 0.000)
Zr (0.500, 0.500, 0.500)
Cl (0.250, 0.250, 0.250)
Cl (0.750, 0.750, 0.750)

symmetry = Fm-3m
relative energy among the computed polymorphs = 489 meV per atom
calculated volume = 17.233 Å³ per atom
formation energy without anion corrections = -670 meV/atom

---

This record from Alexandria describes a relaxed LiZrCl2 crystal. The functional is PBE.

Unit cell a=8.271 b=8.271 c=8.271 alpha=24.10 beta=24.10 gamma=24.10
Sites, in units of the cell vectors:
Li (0.000, 0.000, 0.000)
Zr (0.500, 0.500, 0.500)
Cl (0.395, 0.395, 0.395)
Cl (0.605, 0.605, 0.605)

symmetry = R-3m
relative energy among the computed polymorphs = 0 meV per atom
calculated volume = 20.732 Å³ per atom
formation energy without anion corrections = -1158 meV/atom

---

This record from Alexandria describes a relaxed Li2ZrCl6 crystal. The functional is PBE.

Unit cell a=6.128 b=6.128 c=11.270 alpha=90.00 beta=90.00 gamma=90.00
Sites, in units of the cell vectors:
Li (0.000, 0.000, 0.166)
Li (0.000, 0.000, 0.834)
Li (0.500, 0.500, 0.334)
Li (0.500, 0.500, 0.666)
Zr (0.000, 0.000, 0.500)
Zr (0.500, 0.500, 0.000)
Cl (0.196, 0.196, 0.339)
Cl (0.196, 0.196, 0.661)
Cl (0.210, 0.210, 0.000)
Cl (0.290, 0.710, 0.500)
Cl (0.304, 0.696, 0.161)
Cl (0.304, 0.696, 0.839)
Cl (0.696, 0.304, 0.161)
Cl (0.696, 0.304, 0.839)
Cl (0.710, 0.290, 0.500)
Cl (0.790, 0.790, 0.000)
Cl (0.804, 0.804, 0.339)
Cl (0.804, 0.804, 0.661)

symmetry = P4_2/mnm
relative energy among the computed polymorphs = 12 meV per atom
calculated volume = 23.514 Å³ per atom
formation energy without anion corrections = -1785 meV/atom

---

This record from Alexandria describes a relaxed LiZrCl6 crystal. The functional is PBE.

Unit cell a=7.124 b=7.124 c=7.124 alpha=60.00 beta=60.00 gamma=60.00
Sites, in units of the cell vectors:
Li (0.000, 0.000, 0.000)
Zr (0.500, 0.500, 0.500)
Cl (0.254, 0.254, 0.746)
Cl (0.254, 0.746, 0.254)
Cl (0.254, 0.746, 0.746)
Cl (0.746, 0.254, 0.254)
Cl (0.746, 0.254, 0.746)
Cl (0.746, 0.746, 0.254)

symmetry = Fm-3m
calculated volume = 31.957 Å³ per atom
formation energy without anion corrections = -1421 meV/atom

---

This record from Alexandria describes a relaxed LiZrCl3 crystal. The functional is PBE.

Unit cell a=4.629 b=4.629 c=4.629 alpha=90.00 beta=90.00 gamma=90.00
Sites, in units of the cell vectors:
Li (0.000, 0.000, 0.000)
Zr (0.500, 0.500, 0.500)
Cl (0.000, 0.000, 0.500)
Cl (0.000, 0.500, 0.000)
Cl (0.500, 0.000, 0.000)

symmetry = Pm-3m
relative energy among the computed polymorphs = 296 meV per atom
calculated volume = 19.835 Å³ per atom
formation energy without anion corrections = -855 meV/atom

---

This record from Alexandria describes a relaxed Li2ZrCl6 crystal. The functional is PBE.

Unit cell a=6.447 b=6.142 c=12.678 alpha=90.00 beta=120.54 gamma=90.00
Sites, in units of the cell vectors:
Li (0.177, 0.001, 0.177)
Li (0.177, 0.499, 0.677)
Li (0.823, 0.501, 0.323)
Li (0.823, 0.999, 0.823)
Zr (0.500, 0.000, 0.000)
Zr (0.500, 0.500, 0.500)
Cl (0.174, 0.231, 0.838)
Cl (0.174, 0.269, 0.338)
Cl (0.180, 0.723, 0.500)
Cl (0.180, 0.777, 0.000)
Cl (0.498, 0.232, 0.161)
Cl (0.498, 0.268, 0.661)
Cl (0.502, 0.732, 0.339)
Cl (0.502, 0.768, 0.839)
Cl (0.820, 0.223, 0.000)
Cl (0.820, 0.277, 0.500)
Cl (0.826, 0.731, 0.662)
Cl (0.826, 0.769, 0.162)

symmetry = P2_1/c
relative energy among the computed polymorphs = 0 meV per atom
calculated volume = 24.021 Å³ per atom
formation energy without anion corrections = -1796 meV/atom

---

This record from Alexandria describes a relaxed LiZrCl2 crystal. The functional is PBE.

Unit cell a=7.523 b=7.523 c=7.523 alpha=25.68 beta=25.68 gamma=25.68
Sites, in units of the cell vectors:
Li (0.000, 0.000, 0.000)
Zr (0.500, 0.500, 0.500)
Cl (0.260, 0.260, 0.260)
Cl (0.740, 0.740, 0.740)

symmetry = R-3m
relative energy among the computed polymorphs = 17 meV per atom
calculated volume = 17.596 Å³ per atom
formation energy without anion corrections = -1142 meV/atom

---

Number 1: total magnetization 0.00 μB per formula unit. Number 2: total magnetization 0.00 μB per formula unit. Number 3: total magnetization 0.00 μB per formula unit. Number 4: total magnetization 0.00 μB per formula unit. Number 5: total magnetization 5.00 μB per formula unit. Number 6: total magnetization 0.98 μB per formula unit. Number 7: total magnetization 1.02 μB per formula unit. Number 8: total magnetization 0.00 μB per formula unit. Number 9: total magnetization 0.01 μB per formula unit. Number 10: total magnetization 2.00 μB per formula unit. Number 11: total magnetization 0.00 μB per formula unit. Number 12: total magnetization 0.00 μB per formula unit.